The following is a DFT calculation (PBE) of an optimized crystal structure of TmSiPt.

```
TmSiPt
1.0
-5.417 -3.832 -0.914
6.020 -2.190 -1.956
0.586 -1.716 3.724
Tm Pt Si
3 3 3
direct
0.426 0.426 0.500
0.574 0.000 0.500
0.000 0.574 0.500
0.000 0.248 0.000
0.752 0.752 0.000
0.248 0.000 0.000
0.333 0.667 0.000
0.667 0.333 0.000
0.000 0.000 0.500
```

Summary:
symmetry = No. 189
spin magnetization = 0.00 μB per cell
VASP energy = -6.442 eV per atom

The following is a DFT calculation (PBE) of an optimized crystal structure of Ho2TmTe3.

```
Ho2TmTe3
1.0
4.313 0.000 0.000
-2.157 3.735 0.000
0.000 0.000 10.595
Ho Te Tm
2 3 1
direct
0.667 0.333 0.333
0.333 0.667 0.667
0.333 0.667 0.164
0.667 0.333 0.836
0.000 0.000 0.500
0.000 0.000 0.000
```

Summary:
symmetry = No. 164
spin magnetization = 0.01 μB per cell
VASP energy = -5.060 eV per atom

The following is a DFT calculation (PBE) of an optimized crystal structure of LiHfPt.

```
LiHfPt
1.0
0.000 3.093 3.093
3.093 0.000 3.093
3.093 3.093 0.000
Li Hf Pt
1 1 1
direct
0.750 0.750 0.750
0.250 0.250 0.250
0.000 0.000 0.000
```

Summary:
symmetry = No. 216
spin magnetization = 0.00 μB per cell
polymorph energy (0 for the lowest one) = 0.000 eV per atom